No. 1
Material: MgScZn2
Method: DFT, PBE
State: optimized geometry

Cell: 3.2601 4.3831 5.4924 Å, 90.00 107.13 90.00°
With the nearest neighbours (Å) after each atom.
Element x y z (fractional)
Mg 0.0000 0.0000 0.0000  7 Zn 2.85-2.90
Sc 0.6843 0.5000 0.3657  7 Zn 2.87-2.89
Zn 0.2722 0.0000 0.5431  2 Zn 2.63, 3 Mg 2.85-2.90, 4 Sc 2.89
Zn 0.4088 0.5000 0.8196  2 Zn 2.63, 3 Sc 2.87-2.89, 4 Mg 2.89

SG: Pm

No. 2
Material: MgZr2Sc2
Method: DFT, PBE
State: optimized geometry

Cell: 7.7016 3.1391 10.3085 Å, 90.00 107.65 90.00°
With the nearest neighbours (Å) after each atom.
Element x y z (fractional)
Mg 0.1968 0.2500 0.0550  4 Sc 3.10-3.25, 4 Mg 3.14-3.29, 3 Zr 3.21-3.25
Mg 0.8032 0.7500 0.9450  4 Sc 3.10-3.25, 4 Mg 3.14-3.29, 3 Zr 3.21-3.25
Zr 0.1905 0.7500 0.5706  6 Sc 3.08-3.36, 6 Zr 3.14-3.26
Zr 0.4239 0.2500 0.8360  4 Zr 3.14-3.19, 3 Sc 3.18-3.25, 3 Mg 3.21-3.25
Zr 0.5761 0.7500 0.1640  4 Zr 3.14-3.19, 3 Sc 3.18-3.25, 3 Mg 3.21-3.25
Zr 0.8095 0.2500 0.4294  6 Sc 3.08-3.36, 6 Zr 3.14-3.26
Sc 0.0096 0.7500 0.2546  3 Mg 3.10-3.25, 4 Zr 3.13-3.18, 4 Sc 3.14-3.23
Sc 0.3919 0.2500 0.3658  5 Zr 3.08-3.36, 1 Mg 3.10, 6 Sc 3.14-3.23
Sc 0.6081 0.7500 0.6342  5 Zr 3.08-3.36, 1 Mg 3.10, 6 Sc 3.14-3.23
Sc 0.9904 0.2500 0.7454  3 Mg 3.10-3.25, 4 Zr 3.13-3.18, 4 Sc 3.14-3.23

Excess energy over the best structure of this formula in the dataset: 68 meV/atom
SG: P2_1/m

No. 3
Material: MgZr3Sc3
Method: DFT, PBE
State: optimized geometry

Cell: 7.9376 7.9376 7.9376 Å, 59.29 59.29 59.29°
With the nearest neighbours (Å) after each atom.
Element x y z (fractional)
Mg 0.1579 0.1579 0.1579  6 Zr 3.10-3.39, 3 Sc 3.24
Mg 0.8421 0.8421 0.8421  6 Zr 3.10-3.39, 3 Sc 3.24
Zr 0.2166 0.4265 0.6925  2 Zr 2.85, 3 Sc 3.03-3.09, 1 Mg 3.10
Zr 0.3075 0.7834 0.5735  2 Zr 2.85, 3 Sc 3.03-3.09, 1 Mg 3.10
Zr 0.4265 0.6925 0.2166  2 Zr 2.85, 3 Sc 3.03-3.09, 1 Mg 3.10
Zr 0.5735 0.3075 0.7834  2 Zr 2.85, 3 Sc 3.03-3.09, 1 Mg 3.10
Zr 0.6925 0.2166 0.4265  2 Zr 2.85, 3 Sc 3.03-3.09, 1 Mg 3.10
Zr 0.7834 0.5735 0.3075  2 Zr 2.85, 3 Sc 3.03-3.09, 1 Mg 3.10
Sc 0.0617 0.2393 0.5640  4 Zr 3.03-3.20, 1 Mg 3.24, 2 Sc 3.26
Sc 0.2393 0.5640 0.0617  4 Zr 3.03-3.20, 1 Mg 3.24, 2 Sc 3.26
Sc 0.4360 0.9383 0.7607  4 Zr 3.03-3.20, 1 Mg 3.24, 2 Sc 3.26
Sc 0.5640 0.0617 0.2393  4 Zr 3.03-3.20, 1 Mg 3.24, 2 Sc 3.26
Sc 0.7607 0.4360 0.9383  4 Zr 3.03-3.20, 1 Mg 3.24, 2 Sc 3.26
Sc 0.9383 0.7607 0.4360  4 Zr 3.03-3.20, 1 Mg 3.24, 2 Sc 3.26

Excess energy over the best structure of this formula in the dataset: 181 meV/atom
SG: R-3

No. 4
Material: Mg2Zr2Sc3
Method: DFT, PBE
State: optimized geometry

Cell: 4.9711 21.3792 3.1337 Å, 90.00 90.00 90.00°
With the nearest neighbours (Å) after each atom.
Element x y z (fractional)
Mg 0.0000 0.0730 0.0000  3 Mg 3.12-3.13, 1 Zr 3.18, 8 Sc 3.33-3.37
Mg 0.0000 0.9270 0.0000  3 Mg 3.12-3.13, 1 Zr 3.18, 8 Sc 3.33-3.37
Mg 0.5000 0.4270 0.0000  3 Mg 3.12-3.13, 1 Zr 3.18, 8 Sc 3.33-3.37
Mg 0.5000 0.5730 0.0000  3 Mg 3.12-3.13, 1 Zr 3.18, 8 Sc 3.33-3.37
Zr 0.0000 0.2215 0.0000  2 Zr 2.77
Zr 0.0000 0.7785 0.0000  2 Zr 2.77
Zr 0.5000 0.2785 0.0000  2 Zr 2.77
Zr 0.5000 0.7215 0.0000  2 Zr 2.77
Sc 0.0000 0.3499 0.5000  3 Sc 3.13-3.21, 6 Zr 3.16-3.31, 4 Mg 3.37
Sc 0.0000 0.5000 0.5000  4 Sc 3.13-3.21, 8 Mg 3.33
Sc 0.0000 0.6501 0.5000  3 Sc 3.13-3.21, 6 Zr 3.16-3.31, 4 Mg 3.37
Sc 0.5000 0.0000 0.5000  4 Sc 3.13-3.21, 8 Mg 3.33
Sc 0.5000 0.1501 0.5000  3 Sc 3.13-3.21, 6 Zr 3.16-3.31, 4 Mg 3.37
Sc 0.5000 0.8499 0.5000  3 Sc 3.13-3.21, 6 Zr 3.16-3.31, 4 Mg 3.37

SG: Cmmm

What did we get for energy of formation from the pure elements? Answer: -0.226; 0.063; 0.253; 0.006 eV per atom, in the order shown.
What did we get for Fermi-level density of states? Answer: 1.734; 12.144; 21.655; 13.286 states/eV/cell, in the order shown.
What did we get for magnetization? Answer: 0.00; 0.00; 0.00; 0.00 Bohr magnetons per cell, in the order shown.